Record 1
A geometry-optimized Mg2RuBr structure, computed with PBE-GGA.

**Energy relative to the elements, uncorrected**: 90.0 kJ/mol of formula units
**Polymorph energy (0 for the lowest one)**: 0.453 eV/atom
**Crystal system**: tetragonal

a b c (Å): 5.664 5.664 5.664
angles (deg): 139.56 139.56 58.53
Fractional coordinates of all 4 atoms:
Mg (0.000, 0.000, 0.000)
Mg (0.250, 0.750, 0.500)
Ru (0.500, 0.500, 0.000)
Br (0.750, 0.250, 0.500)

=====

Record 2
A geometry-optimized PmInIrAu structure, computed with PBE-GGA.

**DFT formation energy**: -0.4269 eV/atom
**Crystal system**: cubic

a b c (Å): 4.916 4.916 4.916
angles (deg): 60.00 60.00 60.00
Fractional coordinates of all 4 atoms:
In (0.250, 0.250, 0.250)
Au (0.000, 0.000, 0.000)
Ir (0.500, 0.500, 0.500)
Pm (0.750, 0.750, 0.750)

=====

Record 3
A geometry-optimized Sr4Tl12Ag structure, computed with PBE-GGA.

**DFT formation energy**: -0.2178 eV/atom
**Crystal system**: cubic

a b c (Å): 8.787 8.787 8.787
angles (deg): 109.47 109.47 109.47
Fractional coordinates of all 17 atoms:
Tl (0.000, 0.712, 0.712)
Tl (0.288, 0.000, 0.288)
Tl (0.250, 0.500, 0.750)
Tl (0.500, 0.250, 0.750)
Tl (0.750, 0.500, 0.250)
Tl (0.712, 0.712, 0.000)
Tl (0.750, 0.250, 0.500)
Tl (0.712, 0.000, 0.712)
Tl (0.500, 0.750, 0.250)
Tl (0.250, 0.750, 0.500)
Tl (0.000, 0.288, 0.288)
Tl (0.288, 0.288, 0.000)
Sr (0.000, 0.500, 0.000)
Sr (0.500, 0.000, 0.000)
Sr (0.500, 0.500, 0.500)
Sr (0.000, 0.000, 0.500)
Ag (0.000, 0.000, 0.000)

=====

Record 4
A geometry-optimized Cs3NdBi2S6 structure, computed with PBE-GGA.

**Energy relative to the elements, uncorrected**: -1290.0 kJ/mol of formula units
**Crystal system**: monoclinic

a b c (Å): 7.346 7.346 8.436
angles (deg): 98.34 98.34 120.00
Fractional coordinates of all 12 atoms:
S (0.396, 0.063, 0.188)
S (0.271, 0.271, 0.811)
S (0.937, 0.604, 0.812)
S (0.729, 0.729, 0.189)
S (0.604, 0.937, 0.812)
S (0.063, 0.396, 0.188)
Cs (0.168, 0.832, 0.500)
Cs (0.500, 0.500, 0.500)
Cs (0.832, 0.168, 0.500)
Bi (0.667, 0.333, 0.000)
Bi (0.333, 0.667, 0.000)
Nd (0.000, 0.000, 0.000)

=====

Record 5
A geometry-optimized HfZr2ReSe structure, computed with PBE-GGA.

**Energy relative to the elements, uncorrected**: 213.3 kJ/mol of formula units
**Crystal system**: tetragonal

a b c (Å): 5.082 5.053 5.082
angles (deg): 90.00 90.00 90.00
Fractional coordinates of all 5 atoms:
Re (0.000, 0.000, 0.000)
Zr (0.000, 0.000, 0.500)
Zr (0.500, 0.000, 0.000)
Hf (0.000, 0.500, 0.000)
Se (0.500, 0.500, 0.500)

=====

Record 6
A geometry-optimized Ca3EuCo structure, computed with PBE-GGA.

**DFT formation energy**: 0.1607 eV/atom
**Crystal system**: cubic

a b c (Å): 5.549 5.549 5.549
angles (deg): 90.00 90.00 90.00
Fractional coordinates of all 5 atoms:
Co (0.000, 0.000, 0.000)
Eu (0.500, 0.500, 0.500)
Ca (0.000, 0.500, 0.000)
Ca (0.000, 0.000, 0.500)
Ca (0.500, 0.000, 0.000)

=====

Record 7
A geometry-optimized AsSe2BrCl structure, computed with PBE-GGA.

**Energy relative to the elements, uncorrected**: 220.8 kJ/mol of formula units
**Polymorph energy (0 for the lowest one)**: 0.000 eV/atom
**Crystal system**: tetragonal

a b c (Å): 5.118 5.118 5.179
angles (deg): 90.00 90.00 90.00
Fractional coordinates of all 5 atoms:
As (0.000, 0.000, 0.000)
Se (0.000, 0.500, 0.000)
Se (0.500, 0.000, 0.000)
Cl (0.500, 0.500, 0.500)
Br (0.000, 0.000, 0.500)

=====

Record 8
A geometry-optimized Hg4Sb2IBr2 structure, computed with PBE-GGA.

**Energy relative to the elements, uncorrected**: -123.2 kJ/mol of formula units
**Crystal system**: monoclinic

a b c (Å): 4.461 11.932 7.841
angles (deg): 121.16 90.00 100.77
Fractional coordinates of all 9 atoms:
Br (0.824, 0.648, 0.433)
Br (0.176, 0.352, 0.567)
Hg (0.429, 0.859, 0.326)
Hg (0.139, 0.278, 0.100)
Hg (0.571, 0.141, 0.674)
Hg (0.861, 0.722, 0.900)
Sb (0.719, 0.437, 0.064)
Sb (0.281, 0.563, 0.936)
I (0.000, 0.000, 0.000)

=====

Record 9
A geometry-optimized HfVOs structure, computed with PBE-GGA.

**DFT formation energy**: -0.4055 eV/atom
**Polymorph energy (0 for the lowest one)**: 0.085 eV/atom
**Crystal system**: orthorhombic

a b c (Å): 3.165 4.472 7.035
angles (deg): 90.00 103.00 90.00
Fractional coordinates of all 6 atoms:
Hf (0.915, 0.250, 0.830)
Hf (0.085, 0.750, 0.170)
Os (0.410, 0.750, 0.821)
Os (0.590, 0.250, 0.179)
V (0.757, 0.750, 0.515)
V (0.243, 0.250, 0.485)

=====

Record 10
A geometry-optimized Pr2CdSn4Ir3 structure, computed with PBE-GGA.

**DFT formation energy**: -0.4861 eV/atom
**Crystal system**: tetragonal

a b c (Å): 4.539 4.539 11.176
angles (deg): 90.00 90.00 90.00
Fractional coordinates of all 10 atoms:
Sn (0.000, 0.000, 0.000)
Sn (0.500, 0.000, 0.643)
Sn (0.500, 0.500, 0.000)
Sn (0.000, 0.500, 0.357)
Pr (0.000, 0.500, 0.762)
Pr (0.500, 0.000, 0.238)
Ir (0.000, 0.000, 0.500)
Ir (0.000, 0.500, 0.126)
Ir (0.500, 0.000, 0.874)
Cd (0.500, 0.500, 0.500)

=====

Record 11
A geometry-optimized AsRuPt2 structure, computed with PBE-GGA.

**DFT formation energy**: 0.0730 eV/atom
**Crystal system**: orthorhombic

a b c (Å): 2.828 3.621 6.041
angles (deg): 90.00 90.00 90.00
Fractional coordinates of all 4 atoms:
Pt (0.000, 0.000, 0.000)
Pt (0.500, 0.500, 0.261)
Ru (0.000, 0.000, 0.521)
As (0.500, 0.500, 0.719)

=====

Record 12
A geometry-optimized SmO4 structure, computed with PBE-GGA.

**Energy relative to the elements, uncorrected**: -170.8 kJ/mol of formula units
**Crystal system**: cubic

a b c (Å): 4.606 4.606 4.606
angles (deg): 90.00 90.00 90.00
Fractional coordinates of all 5 atoms:
Sm (0.500, 0.500, 0.500)
O (0.000, 0.500, 0.500)
O (0.500, 0.000, 0.500)
O (0.500, 0.500, 0.000)
O (0.000, 0.000, 0.000)

=====

no.,E_tot (eV/cell),spin magnetization (Bohr magnetons per cell)
1,-13.205,0.41
2,-21.335,0.00
3,-41.676,0.00
4,-53.225,0.00
5,-40.772,0.00
6,-22.581,7.76
7,-12.849,1.14
8,-15.625,0.00
9,-63.036,0.00
10,-57.930,0.00
11,-25.715,0.00
12,-26.322,5.00